# 1
Co2HgAu PBE relaxed; D(E_F) = 1.15 states/eV per atom; space group = No. 122; mass density = 12.1 g/cm3; size of the total moment = 3.56 μB/f.u.
1.0
-2.864 1.185 -2.357
-1.308 -3.659 -0.250
-7.592 0.224 6.121
Au Hg Co
2 2 4
Cartesian
-5.493 -2.336 2.283
-2.086 -1.237 -1.304
0.000 0.000 0.000
-6.271 0.086 1.230
-7.365 -1.058 3.592
-3.618 0.243 0.218
-3.307 -1.986 0.887
-9.238 -1.699 2.329

***

# 2
CoHg2Au PBE relaxed; D(E_F) = 0.85 states/eV per atom; space group = No. 122; mass density = 13.5 g/cm3; energy above the lowest structure with this stoichiometry = 0.230 eV/atom; size of the total moment = 1.56 μB/f.u.
1.0
4.065 0.000 0.000
0.000 4.065 0.000
2.033 2.033 9.789
Co Hg Au
2 4 2
Cartesian
2.033 4.065 4.895
2.033 2.033 0.000
1.051 3.049 2.447
5.082 5.047 7.342
3.049 3.083 7.342
3.015 1.016 2.447
0.000 0.000 0.000
4.065 2.033 4.895

***

| no. | calculated total energy (eV per formula unit) | E_form (meV/atom) |
| --- | --- | --- |
| 1 | -15.2 | 653 |
| 2 | -9.0 | 499 |